(1)
An optimized crystal structure of ScO2, computed with PBE.

The calculated total energy is -7.929 eV/atom. The raw formation energy comes out at -2513 meV per atom. Its size of the total moment is 1.96 μB/cell.

abc: 6.0519 6.0519 3.9552
angles: 90.00 90.00 147.76
Last column: nearest neighbours and their distance in Å.
Sites, in units of the cell vectors:
O: 0.0520 0.9480 0.2500  2 Sc 2.12, 2 O 2.32
O: 0.2844 0.7156 0.2500  4 Sc 2.07-2.19
O: 0.7156 0.2844 0.7500  4 Sc 2.07-2.19
O: 0.9480 0.0520 0.7500  2 Sc 2.12, 2 O 2.32
Sc: 0.3367 0.6633 0.7500  6 O 2.07-2.19
Sc: 0.6633 0.3367 0.2500  6 O 2.07-2.19



(2)
An optimized crystal structure of Sc3O, computed with PBE.

The calculated total energy is -7.153 eV/atom. The raw formation energy comes out at -1165 meV per atom. Its size of the total moment is 0.00 μB/cell.

abc: 2.9425 3.0731 8.1816
angles: 90.00 90.00 90.00
Last column: nearest neighbours and their distance in Å.
Sites, in units of the cell vectors:
Sc: 0.0000 0.5000 0.4675  8 Sc 2.94-3.24
Sc: 0.5000 0.0000 0.7663  2 O 2.47
Sc: 0.5000 0.5000 0.0910  4 O 2.23
O: 0.0000 0.0000 0.0086  6 Sc 2.23-2.47